Entry 1:
SmDy2Y3: optimized geometry, PBE-GGA.

Values from the calculation:
The calculation puts the formation energy at 0.115 eV/atom. The total moment comes out at 0.00 μB per formula unit. For the relative energy among the computed polymorphs, the calculation gives 48 meV/atom. Its space group is C2/m, No. 12.

Lattice parameters (Å, degrees): 3.513 9.071 12.968 78.27 82.22 78.83
Fractional coordinates of all 12 atoms:
Sm1 0.438 0.479 0.645
Sm2 0.562 0.521 0.355
Dy1 0.818 0.479 0.884
Dy2 0.182 0.521 0.116
Dy3 0.658 0.153 0.532
Dy4 0.342 0.847 0.468
Y1 0.039 0.134 0.788
Y2 0.961 0.866 0.212
Y3 0.600 0.826 0.974
Y4 0.400 0.174 0.026
Y5 0.740 0.815 0.706
Y6 0.260 0.185 0.294

=====

Entry 2:
TbAl2GaCo2: optimized geometry, PBE-GGA.

Values from the calculation:
The calculation puts the formation energy at -0.202 eV/atom. The total moment comes out at 1.56 μB per formula unit. Its space group is P4/mmm, No. 123.

Lattice parameters (Å, degrees): 4.346 4.346 5.571 90.00 90.00 90.00
Fractional coordinates of all 6 atoms:
Tb1 0.000 0.000 0.500
Al1 0.500 0.500 0.751
Al2 0.500 0.500 0.249
Ga1 0.000 0.000 0.000
Co1 0.500 0.000 0.000
Co2 0.000 0.500 0.000

=====

Entry 3:
Tb3Er4Cd: optimized geometry, PBE-GGA.

Values from the calculation:
The calculation puts the formation energy at -0.048 eV/atom. The total moment comes out at 0.00 μB per formula unit. For the relative energy among the computed polymorphs, the calculation gives 16 meV/atom. Its space group is Pmn2_1, No. 31.

Lattice parameters (Å, degrees): 6.135 6.978 11.129 90.00 90.00 90.00
Fractional coordinates of all 16 atoms:
Tb1 0.628 0.628 0.000
Tb2 0.978 0.619 0.238
Tb3 0.478 0.381 0.262
Tb4 0.128 0.372 0.500
Tb5 0.478 0.381 0.738
Tb6 0.978 0.619 0.762
Er1 0.163 0.882 0.000
Er2 0.639 0.129 0.000
Er3 0.988 0.126 0.242
Er4 0.488 0.874 0.258
Er5 0.139 0.871 0.500
Er6 0.663 0.118 0.500
Er7 0.488 0.874 0.742
Er8 0.988 0.126 0.758
Cd1 0.152 0.372 0.000
Cd2 0.652 0.628 0.500

=====

Entry 4:
Ca2Zn4CdSi3: optimized geometry, PBE-GGA.

Values from the calculation:
The value obtained for the formation energy (no corrections) is -257 meV/atom. The total moment comes out at 0.00 μB per formula unit. Its space group is P-4m2, No. 115.

Lattice parameters (Å, degrees): 4.179 4.179 10.929 90.00 90.00 90.00
Fractional coordinates of all 10 atoms:
Ca1 0.500 0.000 0.238
Ca2 0.000 0.500 0.762
Zn1 0.500 0.500 0.000
Zn2 0.000 0.000 0.000
Zn3 0.500 0.000 0.648
Zn4 0.000 0.500 0.352
Cd1 0.500 0.500 0.500
Si1 0.000 0.000 0.500
Si2 0.500 0.000 0.867
Si3 0.000 0.500 0.133

=====

Entry 5:
CaCd11Hg: optimized geometry, PBE-GGA.

Values from the calculation:
The calculation puts the formation energy at -0.078 eV/atom. The total moment comes out at 0.00 μB per formula unit. Its space group is C2/m, No. 12.

Lattice parameters (Å, degrees): 6.000 7.759 7.748 81.28 67.22 66.95
Fractional coordinates of all 13 atoms:
Ca1 0.000 0.000 0.000
Cd1 0.286 0.212 0.213
Cd2 0.714 0.788 0.787
Cd3 0.502 0.788 0.213
Cd4 0.498 0.212 0.787
Cd5 0.350 0.648 0.646
Cd6 0.650 0.352 0.354
Cd7 0.005 0.352 0.646
Cd8 0.995 0.648 0.354
Cd9 0.000 0.500 0.000
Cd10 0.500 0.000 0.500
Cd11 0.000 0.000 0.500
Hg1 0.500 0.500 0.000

=====

Entry 6:
CaIClO2: optimized geometry, PBE-GGA.

Values from the calculation:
The value obtained for the formation energy (no corrections) is -421 meV/atom. The total moment comes out at 2.18 μB per formula unit. For the relative energy among the computed polymorphs, the calculation gives 0 meV/atom. Its space group is P4/mmm, No. 123.

Lattice parameters (Å, degrees): 4.412 4.412 7.260 90.00 90.00 90.00
Fractional coordinates of all 5 atoms:
I1 0.000 0.000 0.500
Ca1 0.000 0.000 0.000
O1 0.000 0.500 0.000
O2 0.500 0.000 0.000
Cl1 0.500 0.500 0.500

=====

Entry 7:
AlP2SCl: optimized geometry, PBE-GGA.

Values from the calculation:
The value obtained for the formation energy (no corrections) is 549 meV/atom. The total moment comes out at 0.43 μB per formula unit. For the relative energy among the computed polymorphs, the calculation gives 0 meV/atom. Its space group is P4/mmm, No. 123.

Lattice parameters (Å, degrees): 4.769 4.769 4.422 90.00 90.00 90.00
Fractional coordinates of all 5 atoms:
P1 0.000 0.500 0.000
P2 0.500 0.000 0.000
S1 0.500 0.500 0.500
Al1 0.000 0.000 0.000
Cl1 0.000 0.000 0.500

=====

Entry 8:
TbAlZn2: optimized geometry, PBE-GGA.

Values from the calculation:
The calculation puts the formation energy at -0.335 eV/atom. The total moment comes out at 0.00 μB per formula unit. Its space group is Pnma, No. 62.

Lattice parameters (Å, degrees): 5.746 6.690 8.028 90.00 90.00 90.00
Fractional coordinates of all 16 atoms:
Tb1 0.365 0.250 0.039
Tb2 0.865 0.750 0.461
Tb3 0.635 0.750 0.961
Tb4 0.135 0.250 0.539
Al1 0.635 0.250 0.407
Al2 0.135 0.750 0.093
Al3 0.365 0.750 0.593
Al4 0.865 0.250 0.907
Zn1 0.894 0.057 0.193
Zn2 0.394 0.943 0.307
Zn3 0.106 0.557 0.807
Zn4 0.606 0.443 0.693
Zn5 0.106 0.943 0.807
Zn6 0.606 0.057 0.693
Zn7 0.894 0.443 0.193
Zn8 0.394 0.557 0.307

=====

Entry 9:
Sr3BiAs: optimized geometry, PBE-GGA.

Values from the calculation:
The calculation puts the formation energy at -0.986 eV/atom. The total moment comes out at 0.00 μB per formula unit. For the relative energy among the computed polymorphs, the calculation gives 0 meV/atom. Its space group is P2_1/c, No. 14.

Lattice parameters (Å, degrees): 9.125 8.672 9.469 90.00 80.73 90.00
Fractional coordinates of all 20 atoms:
Sr1 0.419 0.115 0.764
Sr2 0.581 0.885 0.236
Sr3 0.081 0.615 0.236
Sr4 0.919 0.385 0.764
Sr5 0.519 0.703 0.868
Sr6 0.481 0.297 0.132
Sr7 0.981 0.203 0.132
Sr8 0.019 0.797 0.868
Sr9 0.781 0.003 0.552
Sr10 0.219 0.997 0.448
Sr11 0.719 0.503 0.448
Sr12 0.281 0.497 0.552
Bi1 0.735 0.064 0.913
Bi2 0.265 0.936 0.087
Bi3 0.765 0.564 0.087
Bi4 0.235 0.436 0.913
As1 0.489 0.783 0.558
As2 0.511 0.217 0.442
As3 0.011 0.283 0.442
As4 0.989 0.717 0.558

=====

Entry 10:
AcSm6Ho4: optimized geometry, PBE-GGA.

Values from the calculation:
The calculation puts the formation energy at 0.133 eV/atom. The total moment comes out at 0.00 μB per formula unit. Its space group is Cmcm, No. 63.

Lattice parameters (Å, degrees): 5.928 5.708 25.800 90.00 90.00 121.28
Fractional coordinates of all 22 atoms:
Ac1 0.782 0.565 0.250
Ac2 0.218 0.435 0.750
Sm1 0.500 0.000 0.000
Sm2 0.500 0.000 0.500
Sm3 0.117 0.234 0.321
Sm4 0.883 0.766 0.679
Sm5 0.883 0.766 0.821
Sm6 0.117 0.234 0.179
Sm7 0.796 0.592 0.403
Sm8 0.204 0.408 0.597
Sm9 0.204 0.408 0.903
Sm10 0.796 0.592 0.097
Sm11 0.441 0.882 0.250
Sm12 0.559 0.118 0.750
Ho1 0.851 0.702 0.543
Ho2 0.451 0.901 0.123
Ho3 0.149 0.298 0.457
Ho4 0.549 0.099 0.877
Ho5 0.851 0.702 0.957
Ho6 0.149 0.298 0.043
Ho7 0.549 0.099 0.623
Ho8 0.451 0.901 0.377

=====

Entry 11:
BeOsN2Cl: optimized geometry, PBE-GGA.

Values from the calculation:
The value obtained for the formation energy (no corrections) is 988 meV/atom. The total moment comes out at 0.00 μB per formula unit. Its space group is P4/mmm, No. 123.

Lattice parameters (Å, degrees): 3.735 3.735 6.088 90.00 90.00 90.00
Fractional coordinates of all 5 atoms:
Be1 0.500 0.500 0.500
N1 0.000 0.500 0.000
N2 0.500 0.000 0.000
Os1 0.000 0.000 0.000
Cl1 0.000 0.000 0.500

=====

Entry 12:
SrTeBr2: optimized geometry, PBE-GGA.

Values from the calculation:
The value obtained for the formation energy (no corrections) is -986 meV/atom. The total moment comes out at 0.79 μB per formula unit. For the relative energy among the computed polymorphs, the calculation gives 276 meV/atom. Its space group is Immm, No. 71.

Lattice parameters (Å, degrees): 6.446 6.446 6.446 144.82 117.64 73.66
Fractional coordinates of all 4 atoms:
Sr1 0.750 0.250 0.500
Te1 0.250 0.750 0.500
Br1 0.974 0.974 0.000
Br2 0.526 0.526 0.000

=====

| no. | ρ (Mg/m³) |
| --- | --- |
| 1 | 6.24 |
| 2 | 6.32 |
| 3 | 8.77 |
| 4 | 4.69 |
| 5 | 8.01 |
| 6 | 2.75 |
| 7 | 2.58 |
| 8 | 6.82 |
| 9 | 4.91 |
| 10 | 7.96 |
| 11 | 5.14 |
| 12 | 4.64 |